# 1
Material: Tb4Nd5Zn
Method: DFT, GGA-PBE
State: relaxed

The space group is P4/mmm (No. 123) and the conventional cell measures 3.6502, 3.6502 and 24.0045 Å, with angles of 90.00, 90.00 and 90.00 degrees. Symmetry generates all atoms from Tb at (0.0000, 0.0000, 0.1053), Tb at (0.0000, 0.0000, 0.3156), Nd at (0.5000, 0.5000, 0.0000), Nd at (0.5000, 0.5000, 0.2112), Nd at (0.5000, 0.5000, 0.4232) and Zn at (0.0000, 0.0000, 0.5000).

As for the energy of formation from the pure elements: -0.05 eV per atom.

=====

# 2
Material: Tb6NdZn
Method: DFT, GGA-PBE
State: relaxed

The space group is R-3 (No. 148, hexagonal axes) and the conventional cell measures 9.3476, 9.3476 and 9.7642 Å, with angles of 90.00, 90.00 and 120.00 degrees. Symmetry generates all atoms from Tb at (0.0308, 0.7815, 0.2044), Nd at (0.0000, 0.0000, 0.5000) and Zn at (0.0000, 0.0000, 0.0000).

As for the energy of formation from the pure elements: 0.04 eV per atom.

=====

# 3
Material: Tb12Nd3Zn
Method: DFT, GGA-PBE
State: relaxed

The space group is P4/mmm (No. 123) and the conventional cell measures 4.9981, 4.9981 and 20.0926 Å, with angles of 90.00, 90.00 and 90.00 degrees. Symmetry generates all atoms from Tb at (0.0000, 0.0000, 0.0000), Tb at (0.0000, 0.0000, 0.2406), Tb at (0.0000, 0.0000, 0.5000), Tb at (0.0000, 0.5000, 0.1159), Tb at (0.0000, 0.5000, 0.3715), Nd at (0.5000, 0.5000, 0.2445), Nd at (0.5000, 0.5000, 0.5000) and Zn at (0.5000, 0.5000, 0.0000).

As for the energy of formation from the pure elements: 0.02 eV per atom.

=====

# 4
Material: Tb2NdZn3
Method: DFT, GGA-PBE
State: relaxed

The space group is P4/mmm (No. 123) and the conventional cell measures 3.6133, 3.6133 and 10.8786 Å, with angles of 90.00, 90.00 and 90.00 degrees. Symmetry generates all atoms from Tb at (0.0000, 0.0000, 0.1634), Nd at (0.0000, 0.0000, 0.5000), Zn at (0.5000, 0.5000, 0.0000) and Zn at (0.5000, 0.5000, 0.3231).

As for the energy of formation from the pure elements: -0.32 eV per atom.